Here is a relaxed structure of LiSbH3 from Alexandria. Energies are from GGA-PBE.

a = 6.866 Å, b = 4.849 Å, c = 4.152 Å
α = 90.00°, β = 121.70°, γ = 90.00°
Atoms (fractional coordinates):
Li 0.000 0.000 0.000
Li 0.500 0.500 0.000
Sb 0.014 0.500 0.425
Sb 0.514 0.000 0.425
H 0.254 0.246 0.976
H 0.254 0.754 0.976
H 0.325 0.000 0.587
H 0.754 0.254 0.976
H 0.754 0.746 0.976
H 0.825 0.500 0.587

Properties
Magnetic moment: 0.000 μB/atom
Space group: Cm
Uncorrected energy: -3.01 eV/atom

---

Here is a relaxed structure of Dy2Tm5Cu4 from Alexandria. Energies are from GGA-PBE.

a = 11.717 Å, b = 11.717 Å, c = 6.669 Å
α = 93.60°, β = 93.60°, γ = 17.43°
Atoms (fractional coordinates):
Dy 0.226 0.226 0.231
Dy 0.774 0.774 0.769
Tm 0.000 0.000 0.000
Tm 0.370 0.370 0.108
Tm 0.398 0.398 0.623
Tm 0.602 0.602 0.377
Tm 0.630 0.630 0.892
Cu 0.178 0.178 0.626
Cu 0.480 0.480 0.324
Cu 0.520 0.520 0.676
Cu 0.822 0.822 0.374

Properties
Magnetic moment: 0.000 μB/atom
Space group: C2/m
Uncorrected energy: -4.38 eV/atom

---

Here is a relaxed structure of Li2ZrHgH from Alexandria. Energies are from GGA-PBE.

a = 4.229 Å, b = 4.229 Å, c = 4.291 Å
α = 90.00°, β = 90.00°, γ = 90.00°
Atoms (fractional coordinates):
Li 0.000 0.500 0.000
Li 0.500 0.000 0.000
Zr 0.000 0.000 0.500
Hg 0.500 0.500 0.500
H 0.000 0.000 0.000

Properties
Magnetic moment: 0.159 μB/atom
Space group: P4/mmm
Uncorrected energy: -3.37 eV/atom

---

- Which value of uncorrected energy does entry 3 give?
  -3.37 eV/atom